1.
{
  "formula": "HfZn2Cd",
  "functional": "GGA-PBE",
  "state": "relaxed",
  "cell": [[3.009, 0.000, 0.000], [-1.504, 2.606, 0.000], [0.000, 0.000, 28.875]],
  "species": ["Hf", "Hf", "Hf", "Zn", "Zn", "Zn", "Zn", "Zn", "Zn", "Cd", "Cd", "Cd"],
  "fractional_positions": [[0.000, 0.000, 0.000], [0.333, 0.667, 0.667], [0.667, 0.333, 0.333], [0.000, 0.000, 0.584], [0.000, 0.000, 0.749], [0.333, 0.667, 0.250], [0.333, 0.667, 0.416], [0.667, 0.333, 0.082], [0.667, 0.333, 0.917], [0.000, 0.000, 0.166], [0.333, 0.667, 0.833], [0.667, 0.333, 0.499]],
  "ef_ev_per_atom": 0.03,
  "spacegroup": "R3m (160)"
}

---

2.
{
  "formula": "HfZn4Cd",
  "functional": "GGA-PBE",
  "state": "relaxed",
  "cell": [[1.570, -9.747, 0.000], [1.570, 9.747, 0.000], [0.000, 0.000, 6.839]],
  "species": ["Hf", "Hf", "Zn", "Zn", "Zn", "Zn", "Zn", "Zn", "Zn", "Zn", "Cd", "Cd"],
  "fractional_positions": [[0.095, 0.905, 0.750], [0.905, 0.095, 0.250], [0.062, 0.938, 0.250], [0.349, 0.651, 0.560], [0.349, 0.651, 0.940], [0.500, 0.500, 0.000], [0.500, 0.500, 0.500], [0.651, 0.349, 0.060], [0.651, 0.349, 0.440], [0.938, 0.062, 0.750], [0.258, 0.742, 0.250], [0.742, 0.258, 0.750]],
  "de_polymorph_mev_per_atom": 0.0,
  "ef_ev_per_atom": -0.03,
  "spacegroup": "Cmcm (63)"
}